*w*
PaInSe | PBE | optimized geometry

Cell and atoms, written as CIF:
```
data_PaInSe
_space_group_name_H-M_alt 'P 1'
_space_group_IT_number 1
_space_group_name_Hall 'P 1'
_cell_length_a 14.235
_cell_length_b 3.547
_cell_length_c 3.547
_cell_angle_alpha 59.46
_cell_angle_beta 90.00
_cell_angle_gamma 90.00
loop_
_atom_site_label
_atom_site_fract_x
_atom_site_fract_y
_atom_site_fract_z
Pa1 0.000 0.000 0.000
Pa2 0.500 0.122 0.122
In1 0.184 0.324 0.324
In2 0.816 0.324 0.324
Se1 0.358 0.794 0.794
Se2 0.642 0.794 0.794
```

Output
As for the density of states at the Fermi level: 7.795 states/eV per cell.

*x*
PaInSe | PBE | optimized geometry

Cell and atoms, written as CIF:
```
data_PaInSe
_space_group_name_H-M_alt 'P 1'
_space_group_IT_number 1
_space_group_name_Hall 'P 1'
_cell_length_a 9.060
_cell_length_b 9.060
_cell_length_c 9.060
_cell_angle_alpha 153.77
_cell_angle_beta 153.77
_cell_angle_gamma 37.43
loop_
_atom_site_label
_atom_site_fract_x
_atom_site_fract_y
_atom_site_fract_z
Pa1 0.153 0.153 0.000
Pa2 0.847 0.847 0.000
In1 0.000 0.500 0.500
In2 0.500 0.000 0.500
Se1 0.323 0.323 0.000
Se2 0.677 0.677 0.000
```

Output
As for the density of states at the Fermi level: 7.754 states/eV per cell.

Each structure's energy above the most stable one, in meV/atom: *w* 350; *x* 0.

*w*
Pa2InSe | PBE | optimized geometry

Cell and atoms, written as CIF:
```
data_Pa2InSe
_space_group_name_H-M_alt 'P 1'
_space_group_IT_number 1
_space_group_name_Hall 'P 1'
_cell_length_a 6.787
_cell_length_b 6.787
_cell_length_c 6.787
_cell_angle_alpha 37.96
_cell_angle_beta 37.96
_cell_angle_gamma 37.96
loop_
_atom_site_label
_atom_site_fract_x
_atom_site_fract_y
_atom_site_fract_z
Pa1 0.238 0.238 0.238
Pa2 0.762 0.762 0.762
In1 0.000 0.000 0.000
Se1 0.500 0.500 0.500
```

Output
As for the density of states at the Fermi level: 7.218 states/eV per cell.

*x*
Pa2InSe | PBE | optimized geometry

Cell and atoms, written as CIF:
```
data_Pa2InSe
_space_group_name_H-M_alt 'P 1'
_space_group_IT_number 1
_space_group_name_Hall 'P 1'
_cell_length_a 3.421
_cell_length_b 3.421
_cell_length_c 8.194
_cell_angle_alpha 90.00
_cell_angle_beta 90.00
_cell_angle_gamma 90.00
loop_
_atom_site_label
_atom_site_fract_x
_atom_site_fract_y
_atom_site_fract_z
Pa1 0.000 0.000 0.223
Pa2 0.000 0.000 0.777
In1 0.500 0.500 0.500
Se1 0.500 0.500 0.000
```

Output
As for the density of states at the Fermi level: 8.380 states/eV per cell.

Each structure's energy above the most stable one, in meV/atom: *w* 105; *x* 0.

*w*
SmPaIn2 | PBE | optimized geometry

Cell and atoms, written as CIF:
```
data_SmPaIn2
_space_group_name_H-M_alt 'P 1'
_space_group_IT_number 1
_space_group_name_Hall 'P 1'
_cell_length_a 11.329
_cell_length_b 11.329
_cell_length_c 11.329
_cell_angle_alpha 16.83
_cell_angle_beta 16.83
_cell_angle_gamma 16.83
loop_
_atom_site_label
_atom_site_fract_x
_atom_site_fract_y
_atom_site_fract_z
Sm1 0.000 0.000 0.000
Pa1 0.500 0.500 0.500
In1 0.250 0.250 0.250
In2 0.750 0.750 0.750
```

Output
As for the density of states at the Fermi level: 6.235 states/eV per cell.

*x*
SmPaIn2 | PBE | optimized geometry

Cell and atoms, written as CIF:
```
data_SmPaIn2
_space_group_name_H-M_alt 'P 1'
_space_group_IT_number 1
_space_group_name_Hall 'P 1'
_cell_length_a 3.364
_cell_length_b 3.364
_cell_length_c 9.272
_cell_angle_alpha 90.00
_cell_angle_beta 90.00
_cell_angle_gamma 90.00
loop_
_atom_site_label
_atom_site_fract_x
_atom_site_fract_y
_atom_site_fract_z
Sm1 0.000 0.000 0.000
Pa1 0.000 0.000 0.500
In1 0.500 0.500 0.253
In2 0.500 0.500 0.747
```

Output
As for the density of states at the Fermi level: 5.982 states/eV per cell.

Each structure's energy above the most stable one, in meV/atom: *w* 108; *x* 0.